[1]
Computed, not measured: crystalline Hg2PPb at its relaxed geometry at the GGA-PBE level of DFT.

Space group: Fmm2
ΔE_f in eV per formula unit: 0.520
Offset from the most stable computed form in meV per atom: 55
Final energy in eV per cell: -9.202
Crystal system: orthorhombic

Unit cell a=6.7762 b=6.7737 c=4.1198 alpha=72.33 beta=72.27 gamma=35.40
Element x y z (fractional)
Hg 0.0000 0.0000 0.0000
Hg 0.4397 0.4397 0.5603
P 0.2263 0.2263 0.7737
Pb 0.7046 0.7046 0.2954


[2]
Computed, not measured: crystalline Hg2PPb at its relaxed geometry at the GGA-PBE level of DFT.

Space group: Cmmm
ΔE_f in eV per formula unit: 0.624
Offset from the most stable computed form in meV per atom: 81
Final energy in eV per cell: -9.098
Crystal system: orthorhombic

Unit cell a=5.1552 b=5.1552 c=4.1199 alpha=90.00 beta=90.00 gamma=108.64
Element x y z (fractional)
Hg 0.2097 0.7903 0.0000
Hg 0.7903 0.2097 0.0000
P 0.0000 0.0000 0.5000
Pb 0.5000 0.5000 0.5000


[3]
Computed, not measured: crystalline HgPPb at its relaxed geometry at the GGA-PBE level of DFT.

Space group: C2/m
ΔE_f in eV per formula unit: 0.616
Offset from the most stable computed form in meV per atom: 51
Final energy in eV per cell: -17.608
Crystal system: monoclinic

Unit cell a=4.3244 b=4.3244 c=8.6191 alpha=90.81 beta=90.81 gamma=85.68
Element x y z (fractional)
Hg 0.1531 0.1531 0.2380
Hg 0.8469 0.8469 0.7620
P 0.3431 0.3431 0.9641
P 0.6569 0.6569 0.0359
Pb 0.2927 0.2927 0.6271
Pb 0.7073 0.7073 0.3729


[4]
Computed, not measured: crystalline Hg2PPb at its relaxed geometry at the GGA-PBE level of DFT.

Space group: P2/m
ΔE_f in eV per formula unit: 0.361
Offset from the most stable computed form in meV per atom: 16
Final energy in eV per cell: -18.721
Crystal system: monoclinic

Unit cell a=6.1664 b=5.7560 c=6.6832 alpha=90.00 beta=113.44 gamma=90.00
Element x y z (fractional)
Hg 0.0000 0.0000 0.0000
Hg 0.0000 0.0000 0.5000
Hg 0.0164 0.5000 0.2418
Hg 0.9836 0.5000 0.7582
P 0.4568 0.0000 0.6408
P 0.5432 0.0000 0.3592
Pb 0.4746 0.5000 0.7446
Pb 0.5254 0.5000 0.2554


[5]
Computed, not measured: crystalline Hg3PPb at its relaxed geometry at the GGA-PBE level of DFT.

Space group: Pm-3m
ΔE_f in eV per formula unit: 3.837
Offset from the most stable computed form in meV per atom: 415
Final energy in eV per cell: -6.187
Crystal system: cubic

Unit cell a=5.8505 b=5.8505 c=5.8505 alpha=90.00 beta=90.00 gamma=90.00
Element x y z (fractional)
Hg 0.0000 0.0000 0.5000
Hg 0.0000 0.5000 0.0000
Hg 0.5000 0.0000 0.0000
P 0.5000 0.5000 0.5000
Pb 0.0000 0.0000 0.0000


[6]
Computed, not measured: crystalline Hg2PPb2 at its relaxed geometry at the GGA-PBE level of DFT.

Space group: P4/mbm
ΔE_f in eV per formula unit: 1.028
Offset from the most stable computed form in meV per atom: 0
Final energy in eV per cell: -24.803
Crystal system: tetragonal

Unit cell a=7.5105 b=7.5105 c=5.1826 alpha=90.00 beta=90.00 gamma=90.00
Element x y z (fractional)
Hg 0.1570 0.3430 0.0000
Hg 0.3430 0.8430 0.0000
Hg 0.6570 0.1570 0.0000
Hg 0.8430 0.6570 0.0000
P 0.0000 0.0000 0.5000
P 0.5000 0.5000 0.5000
Pb 0.1612 0.6612 0.5000
Pb 0.3388 0.1612 0.5000
Pb 0.6612 0.8388 0.5000
Pb 0.8388 0.3388 0.5000


[7]
Computed, not measured: crystalline Hg2PPb at its relaxed geometry at the GGA-PBE level of DFT.

Space group: P-1
ΔE_f in eV per formula unit: 0.411
Offset from the most stable computed form in meV per atom: 28
Final energy in eV per cell: -18.622
Crystal system: triclinic

Unit cell a=5.9216 b=5.9425 c=6.9230 alpha=85.87 beta=88.04 gamma=65.22
Element x y z (fractional)
Hg 0.0000 0.0000 0.0000
Hg 0.0000 0.0000 0.5000
Hg 0.4630 0.1137 0.2083
Hg 0.5370 0.8863 0.7917
P 0.1684 0.5332 0.9840
P 0.8316 0.4668 0.0160
Pb 0.2813 0.4166 0.5959
Pb 0.7187 0.5834 0.4041


[8]
Computed, not measured: crystalline Hg3P5Pb12 at its relaxed geometry at the GGA-PBE level of DFT.

Space group: Ia-3d
ΔE_f in eV per formula unit: 3.817
Final energy in eV per cell: -274.550
Crystal system: cubic

Unit cell a=14.9155 b=14.9155 c=14.9155 alpha=109.47 beta=109.47 gamma=109.47
Element x y z (fractional)
Hg 0.1250 0.2500 0.3750
Hg 0.1250 0.3750 0.7500
Hg 0.2500 0.3750 0.1250
Hg 0.2500 0.8750 0.6250
Hg 0.3750 0.1250 0.2500
Hg 0.3750 0.7500 0.1250
Hg 0.6250 0.2500 0.8750
Hg 0.6250 0.8750 0.7500
Hg 0.7500 0.1250 0.3750
Hg 0.7500 0.6250 0.8750
Hg 0.8750 0.6250 0.2500
Hg 0.8750 0.7500 0.6250
P 0.0000 0.0000 0.0000
P 0.0000 0.0000 0.5000
P 0.0000 0.5000 0.0000
P 0.0000 0.5000 0.5000
P 0.1250 0.7500 0.8750
P 0.1250 0.8750 0.2500
P 0.2500 0.1250 0.8750
P 0.2500 0.6250 0.3750
P 0.3750 0.2500 0.6250
P 0.3750 0.6250 0.7500
P 0.5000 0.0000 0.0000
P 0.5000 0.0000 0.5000
P 0.5000 0.5000 0.0000
P 0.5000 0.5000 0.5000
P 0.6250 0.3750 0.2500
P 0.6250 0.7500 0.3750
P 0.7500 0.3750 0.6250
P 0.7500 0.8750 0.1250
P 0.8750 0.1250 0.7500
P 0.8750 0.2500 0.1250
Pb 0.0465 0.2241 0.1220
Pb 0.0465 0.3225 0.9245
Pb 0.0755 0.6220 0.3980
Pb 0.0755 0.9535 0.6775
Pb 0.1020 0.7241 0.6775
Pb 0.1020 0.8780 0.4245
Pb 0.1220 0.0465 0.2241
Pb 0.1220 0.5755 0.8980
Pb 0.1775 0.2241 0.6020
Pb 0.1775 0.4535 0.5755
Pb 0.2241 0.1220 0.0465
Pb 0.2241 0.6020 0.1775
Pb 0.2759 0.3225 0.8980
Pb 0.2759 0.4535 0.3780
Pb 0.3225 0.8980 0.2759
Pb 0.3225 0.9245 0.0465
Pb 0.3780 0.2759 0.4535
Pb 0.3780 0.6020 0.9245
Pb 0.3980 0.0755 0.6220
Pb 0.3980 0.8225 0.7759
Pb 0.4245 0.1020 0.8780
Pb 0.4245 0.8225 0.5465
Pb 0.4535 0.3780 0.2759
Pb 0.4535 0.5755 0.1775
Pb 0.5465 0.4245 0.8225
Pb 0.5465 0.6220 0.7241
Pb 0.5755 0.1775 0.4535
Pb 0.5755 0.8980 0.1220
Pb 0.6020 0.1775 0.2241
Pb 0.6020 0.9245 0.3780
Pb 0.6220 0.3980 0.0755
Pb 0.6220 0.7241 0.5465
Pb 0.6775 0.0755 0.9535
Pb 0.6775 0.1020 0.7241
Pb 0.7241 0.5465 0.6220
Pb 0.7241 0.6775 0.1020
Pb 0.7759 0.3980 0.8225
Pb 0.7759 0.8780 0.9535
Pb 0.8225 0.5465 0.4245
Pb 0.8225 0.7759 0.3980
Pb 0.8780 0.4245 0.1020
Pb 0.8780 0.9535 0.7759
Pb 0.8980 0.1220 0.5755
Pb 0.8980 0.2759 0.3225
Pb 0.9245 0.0465 0.3225
Pb 0.9245 0.3780 0.6020
Pb 0.9535 0.6775 0.0755
Pb 0.9535 0.7759 0.8780


[9]
Computed, not measured: crystalline Hg2PPb at its relaxed geometry at the GGA-PBE level of DFT.

Space group: R-3m
ΔE_f in eV per formula unit: 0.977
Offset from the most stable computed form in meV per atom: 169
Final energy in eV per cell: -8.745
Crystal system: trigonal

Unit cell a=6.9834 b=6.9834 c=6.9834 alpha=35.34 beta=35.34 gamma=35.34
Element x y z (fractional)
Hg 0.2328 0.2328 0.2328
Hg 0.7672 0.7672 0.7672
P 0.5000 0.5000 0.5000
Pb 0.0000 0.0000 0.0000


[10]
Computed, not measured: crystalline Hg2PPb at its relaxed geometry at the GGA-PBE level of DFT.

Space group: C2/m
ΔE_f in eV per formula unit: 1.069
Offset from the most stable computed form in meV per atom: 192
Final energy in eV per cell: -8.653
Crystal system: monoclinic

Unit cell a=5.6197 b=5.6197 c=5.4785 alpha=117.52 beta=117.52 gamma=41.03
Element x y z (fractional)
Hg 0.2171 0.2171 0.2136
Hg 0.7829 0.7829 0.7864
P 0.5000 0.5000 0.0000
Pb 0.0000 0.0000 0.5000


[11]
Computed, not measured: crystalline Hg2PPb at its relaxed geometry at the GGA-PBE level of DFT.

Space group: Cm
ΔE_f in eV per formula unit: 0.299
Offset from the most stable computed form in meV per atom: 0
Final energy in eV per cell: -18.845
Crystal system: monoclinic

Unit cell a=6.4231 b=6.4231 c=6.7160 alpha=104.76 beta=104.76 gamma=117.09
Element x y z (fractional)
Hg 0.2433 0.7567 0.0000
Hg 0.2763 0.7634 0.4854
Hg 0.7567 0.2433 0.0000
Hg 0.7634 0.2763 0.4854
P 0.5998 0.5998 0.5847
P 0.9180 0.9180 0.8993
Pb 0.2572 0.2572 0.7399
Pb 0.7568 0.7568 0.2403


[12]
Computed, not measured: crystalline Hg2PPb at its relaxed geometry at the GGA-PBE level of DFT.

Space group: Fm-3m
ΔE_f in eV per formula unit: 1.551
Offset from the most stable computed form in meV per atom: 313
Final energy in eV per cell: -8.171
Crystal system: cubic

Unit cell a=5.1776 b=5.1776 c=5.1776 alpha=60.00 beta=60.00 gamma=60.00
Element x y z (fractional)
Hg 0.2500 0.2500 0.2500
Hg 0.7500 0.7500 0.7500
P 0.0000 0.0000 0.0000
Pb 0.5000 0.5000 0.5000


[13]
Computed, not measured: crystalline Hg3PPb at its relaxed geometry at the GGA-PBE level of DFT.

Space group: Pm-3m
ΔE_f in eV per formula unit: 1.763
Offset from the most stable computed form in meV per atom: 0
Final energy in eV per cell: -8.261
Crystal system: cubic

Unit cell a=5.1901 b=5.1901 c=5.1901 alpha=90.00 beta=90.00 gamma=90.00
Element x y z (fractional)
Hg 0.0000 0.0000 0.5000
Hg 0.0000 0.5000 0.0000
Hg 0.5000 0.0000 0.0000
P 0.0000 0.0000 0.0000
Pb 0.5000 0.5000 0.5000


[14]
Computed, not measured: crystalline Hg2PPb at its relaxed geometry at the GGA-PBE level of DFT.

Space group: P4/mmm
ΔE_f in eV per formula unit: 1.152
Offset from the most stable computed form in meV per atom: 213
Final energy in eV per cell: -8.569
Crystal system: tetragonal

Unit cell a=4.2518 b=4.2518 c=5.5093 alpha=90.00 beta=90.00 gamma=90.00
Element x y z (fractional)
Hg 0.0000 0.5000 0.0000
Hg 0.5000 0.0000 0.0000
P 0.0000 0.0000 0.5000
Pb 0.5000 0.5000 0.5000


[15]
Computed, not measured: crystalline HgPPb at its relaxed geometry at the GGA-PBE level of DFT.

Space group: P1
ΔE_f in eV per formula unit: 0.616
Offset from the most stable computed form in meV per atom: 51
Final energy in eV per cell: -17.608
Crystal system: triclinic

Unit cell a=4.4591 b=5.3758 c=7.9365 alpha=107.79 beta=106.05 gamma=90.59
Element x y z (fractional)
Hg 0.0000 0.0000 0.0000
Hg 0.4461 0.4495 0.8923
P 0.5710 0.8882 0.1507
P 0.8645 0.1947 0.7371
Pb 0.2244 0.1257 0.4472
Pb 0.7279 0.6768 0.4551


[16]
Computed, not measured: crystalline Hg2PPb at its relaxed geometry at the GGA-PBE level of DFT.

Space group: P-1
ΔE_f in eV per formula unit: 0.448
Offset from the most stable computed form in meV per atom: 37
Final energy in eV per cell: -18.548
Crystal system: triclinic

Unit cell a=6.0343 b=6.1287 c=6.9123 alpha=115.85 beta=106.70 gamma=92.00
Element x y z (fractional)
Hg 0.0000 0.0000 0.0000
Hg 0.2265 0.4578 0.9389
Hg 0.5000 0.0000 0.0000
Hg 0.7735 0.5422 0.0611
P 0.0267 0.1709 0.4944
P 0.9733 0.8291 0.5056
Pb 0.4218 0.7260 0.4559
Pb 0.5782 0.2740 0.5441


[17]
Computed, not measured: crystalline Hg2PPb at its relaxed geometry at the GGA-PBE level of DFT.

Space group: Imm2
ΔE_f in eV per formula unit: 1.066
Offset from the most stable computed form in meV per atom: 192
Final energy in eV per cell: -8.656
Crystal system: orthorhombic

Unit cell a=5.4024 b=5.4024 c=5.4024 alpha=131.83 beta=116.50 gamma=83.51
Element x y z (fractional)
Hg 0.0000 0.0000 0.0000
Hg 0.7417 0.2417 0.5000
P 0.5502 0.5502 0.0000
Pb 0.2740 0.7740 0.5000


[18]
Computed, not measured: crystalline HgP3Pt12Pb2 at its relaxed geometry at the GGA-PBE level of DFT.

Space group: R-3m
ΔE_f in eV per formula unit: -2.357
Final energy in eV per cell: -98.794
Crystal system: trigonal

Unit cell a=7.5745 b=7.5745 c=7.5745 alpha=65.92 beta=65.92 gamma=65.92
Element x y z (fractional)
Hg 0.0000 0.0000 0.0000
P 0.0000 0.0000 0.5000
P 0.0000 0.5000 0.0000
P 0.5000 0.0000 0.0000
Pt 0.1080 0.6456 0.6456
Pt 0.1424 0.1424 0.6022
Pt 0.1424 0.6022 0.1424
Pt 0.3544 0.3544 0.8920
Pt 0.3544 0.8920 0.3544
Pt 0.3978 0.8576 0.8576
Pt 0.6022 0.1424 0.1424
Pt 0.6456 0.1080 0.6456
Pt 0.6456 0.6456 0.1080
Pt 0.8576 0.3978 0.8576
Pt 0.8576 0.8576 0.3978
Pt 0.8920 0.3544 0.3544
Pb 0.3942 0.3942 0.3942
Pb 0.6058 0.6058 0.6058


[19]
Computed, not measured: crystalline HgP2PtPb at its relaxed geometry at the GGA-PBE level of DFT.

Space group: P4/mmm
ΔE_f in eV per formula unit: 1.849
Final energy in eV per cell: -19.022
Crystal system: tetragonal

Unit cell a=4.6061 b=4.6061 c=6.0477 alpha=90.00 beta=90.00 gamma=90.00
Element x y z (fractional)
Hg 0.0000 0.0000 0.0000
P 0.0000 0.5000 0.5000
P 0.5000 0.0000 0.5000
Pt 0.5000 0.5000 0.5000
Pb 0.5000 0.5000 0.0000


[20]
Computed, not measured: crystalline HgPPbS2 at its relaxed geometry at the GGA-PBE level of DFT.

Space group: P4/mmm
Offset from the most stable computed form in meV per atom: 0
Final energy in eV per cell: -14.161
Crystal system: tetragonal
E_form (uncorrected) in eV per atom: 0.703

Unit cell a=5.3640 b=5.3640 c=5.1400 alpha=90.00 beta=90.00 gamma=90.00
Element x y z (fractional)
Hg 0.0000 0.0000 0.0000
P 0.0000 0.0000 0.5000
Pb 0.5000 0.5000 0.5000
S 0.0000 0.5000 0.0000
S 0.5000 0.0000 0.0000


[21]
Computed, not measured: crystalline HgPPbS2 at its relaxed geometry at the GGA-PBE level of DFT.

Space group: P4/mmm
Offset from the most stable computed form in meV per atom: 150
Final energy in eV per cell: -13.410
Crystal system: tetragonal
E_form (uncorrected) in eV per atom: 0.853

Unit cell a=5.2154 b=5.2154 c=5.4625 alpha=90.00 beta=90.00 gamma=90.00
Element x y z (fractional)
Hg 0.0000 0.0000 0.0000
P 0.5000 0.5000 0.0000
Pb 0.5000 0.5000 0.5000
S 0.0000 0.5000 0.5000
S 0.5000 0.0000 0.5000


[22]
Computed, not measured: crystalline TaHg2PPb at its relaxed geometry at the GGA-PBE level of DFT.

Space group: P4/mmm
ΔE_f in eV per formula unit: 8.371
Final energy in eV per cell: -13.204
Crystal system: tetragonal

Unit cell a=5.4306 b=5.4306 c=5.7038 alpha=90.00 beta=90.00 gamma=90.00
Element x y z (fractional)
Ta 0.0000 0.0000 0.0000
Hg 0.0000 0.5000 0.5000
Hg 0.5000 0.0000 0.5000
P 0.5000 0.5000 0.0000
Pb 0.0000 0.0000 0.5000


Number 1: DOS at the Fermi energy 1.04 states/eV/f.u.. Number 2: DOS at the Fermi energy 1.31 states/eV/f.u.. Number 3: DOS at the Fermi energy 0.97 states/eV/f.u.. Number 4: DOS at the Fermi energy 1.05 states/eV/f.u.. Number 5: DOS at the Fermi energy 3.61 states/eV/f.u.. Number 6: DOS at the Fermi energy 2.69 states/eV/f.u.. Number 7: DOS at the Fermi energy 1.04 states/eV/f.u.. Number 8: DOS at the Fermi energy 7.14 states/eV/f.u.. Number 9: DOS at the Fermi energy 2.10 states/eV/f.u.. Number 10: DOS at the Fermi energy 1.45 states/eV/f.u.. Number 11: DOS at the Fermi energy 0.72 states/eV/f.u.. Number 12: DOS at the Fermi energy 2.73 states/eV/f.u.. Number 13: DOS at the Fermi energy 5.74 states/eV/f.u.. Number 14: DOS at the Fermi energy 2.18 states/eV/f.u.. Number 15: DOS at the Fermi energy 0.57 states/eV/f.u.. Number 16: DOS at the Fermi energy 1.12 states/eV/f.u.. Number 17: DOS at the Fermi energy 1.55 states/eV/f.u.. Number 18: DOS at the Fermi energy 4.52 states/eV/f.u.. Number 19: DOS at the Fermi energy 4.35 states/eV/f.u.. Number 20: DOS at the Fermi energy 3.52 states/eV/f.u.. Number 21: DOS at the Fermi energy 4.88 states/eV/f.u.. Number 22: DOS at the Fermi energy 8.29 states/eV/f.u..